Computed, not measured: SrPm3Te6 after structural relaxation at the PBE level of DFT.

Cell lengths 4.504, 12.809, 13.289 Å; angles 109.37, 90.00, 90.00 degrees
Fractional coordinates of all 20 atoms:
Te: 0.250 0.265 0.727
Te: 0.250 0.611 0.946
Te: 0.250 0.086 0.906
Te: 0.250 0.874 0.535
Te: 0.750 0.735 0.273
Te: 0.750 0.795 0.748
Te: 0.750 0.914 0.094
Te: 0.750 0.389 0.054
Te: 0.250 0.205 0.252
Te: 0.750 0.126 0.465
Te: 0.250 0.511 0.381
Te: 0.750 0.489 0.619
Pm: 0.750 0.682 0.498
Pm: 0.250 0.318 0.502
Pm: 0.250 0.845 0.918
Pm: 0.750 0.155 0.082
Pm: 0.250 0.561 0.166
Pm: 0.750 0.439 0.834
Sr: 0.250 0.952 0.304
Sr: 0.750 0.048 0.696

Computed properties:
**Formation energy (no corrections)**: -1357 meV/atom
**Size of the total moment**: 0.00 μB/f.u.
**Raw total energy**: -96.7 eV/cell
**DOS(E_F)**: 7.09 states/eV/f.u.
**Space group**: P2_1/m (11)